i) BiSb3F: relaxed, GGA-PBE.

Calculated values
**Crystal system**: cubic
**D(E_F)**: 6.4 states/eV per cell

Cell lengths 5.8511, 5.8511, 5.8511 Å; angles 90.00, 90.00, 90.00 degrees
Fractional coordinates of all 5 atoms:
Bi (0.0000, 0.0000, 0.0000)
Sb (0.0000, 0.0000, 0.5000)
Sb (0.0000, 0.5000, 0.0000)
Sb (0.5000, 0.0000, 0.0000)
F (0.5000, 0.5000, 0.5000)

ii) BiSb3F: relaxed, GGA-PBE.

Calculated values
**Crystal system**: cubic
**D(E_F)**: 3.2 states/eV per cell

Cell lengths 5.0396, 5.0396, 5.0396 Å; angles 90.00, 90.00, 90.00 degrees
Fractional coordinates of all 5 atoms:
Bi (0.0000, 0.0000, 0.0000)
Sb (0.0000, 0.5000, 0.5000)
Sb (0.5000, 0.0000, 0.5000)
Sb (0.5000, 0.5000, 0.0000)
F (0.5000, 0.5000, 0.5000)

Relative to the most stable structure, the computed energies are i) 839; ii) 0, all in meV per atom.

i) BiSbF2: relaxed, GGA-PBE.

Calculated values
**Crystal system**: tetragonal
**D(E_F)**: 4.9 states/eV per cell

Cell lengths 7.6765, 7.6765, 6.2288 Å; angles 90.00, 90.00, 90.00 degrees
Fractional coordinates of all 16 atoms:
Bi (0.0000, 0.0000, 0.0000)
Bi (0.0000, 0.5000, 0.2500)
Bi (0.5000, 0.0000, 0.7500)
Bi (0.5000, 0.5000, 0.5000)
Sb (0.0000, 0.0000, 0.5000)
Sb (0.0000, 0.5000, 0.7500)
Sb (0.5000, 0.0000, 0.2500)
Sb (0.5000, 0.5000, 0.0000)
F (0.1424, 0.7500, 0.1250)
F (0.2500, 0.1424, 0.8750)
F (0.2500, 0.3576, 0.3750)
F (0.3576, 0.7500, 0.6250)
F (0.6424, 0.2500, 0.6250)
F (0.7500, 0.6424, 0.3750)
F (0.7500, 0.8576, 0.8750)
F (0.8576, 0.2500, 0.1250)

ii) BiSbF2: relaxed, GGA-PBE.

Calculated values
**Crystal system**: trigonal
**D(E_F)**: 5.8 states/eV per cell

Cell lengths 3.3529, 3.3529, 25.8540 Å; angles 90.00, 90.00, 120.00 degrees
Fractional coordinates of all 12 atoms:
Bi (0.0000, 0.0000, 0.0000)
Bi (0.3333, 0.6667, 0.6667)
Bi (0.6667, 0.3333, 0.3333)
Sb (0.0000, 0.0000, 0.5000)
Sb (0.3333, 0.6667, 0.1667)
Sb (0.6667, 0.3333, 0.8333)
F (0.0000, 0.0000, 0.4154)
F (0.0000, 0.0000, 0.5846)
F (0.3333, 0.6667, 0.0821)
F (0.3333, 0.6667, 0.2513)
F (0.6667, 0.3333, 0.7487)
F (0.6667, 0.3333, 0.9179)

Relative to the most stable structure, the computed energies are i) 177; ii) 0, all in meV per atom.